No. 1
Density functional theory data (meta-GGA SCAN) for a crystal of Sr2MnSbO6 relaxed with PBEsol.

Results
Formation energy without anion corrections in eV/atom: -2.501

extended XYZ file:
```
10
Lattice="0.000 3.950 3.950 3.950 0.000 3.950 3.950 3.950 0.000" Properties=species:S:1:pos:R:3 pbc="T T T"
Sr 1.975 1.975 1.975
Sr 5.926 5.926 5.926
Mn 0.000 0.000 0.000
Sb 3.950 3.950 3.950
O 3.950 3.950 1.961
O 3.950 1.961 3.950
O 5.940 3.950 3.950
O 1.961 3.950 3.950
O 3.950 5.940 3.950
O 3.950 3.950 5.940
```



No. 2
Density functional theory data (meta-GGA SCAN) for a crystal of Y2Mn3Sb3O14 relaxed with PBEsol.

Results
Formation energy without anion corrections in eV/atom: -2.318

extended XYZ file:
```
22
Lattice="6.059 -3.632 0.000 6.059 3.632 0.000 -3.994 0.000 5.974" Properties=species:S:1:pos:R:3 pbc="T T T"
Y 3.029 1.816 0.000
Y 3.029 -1.816 0.000
Mn 0.000 0.000 0.000
Mn -1.997 0.000 2.987
Mn 4.062 0.000 2.987
Sb 1.032 1.816 2.987
Sb 1.032 -1.816 2.987
Sb 6.059 0.000 0.000
O -2.082 0.000 5.192
O 1.264 1.521 4.940
O 0.296 0.000 2.637
O 2.875 1.412 2.445
O 4.333 0.000 0.867
O 6.859 1.521 1.034
O 5.248 1.412 3.528
O 2.875 -1.412 2.445
O 1.264 -1.521 4.940
O 3.791 0.000 5.107
O 5.248 -1.412 3.528
O 7.827 0.000 3.337
O 6.859 -1.521 1.034
O 10.205 0.000 0.781
```



No. 3
Density functional theory data (meta-GGA SCAN) for a crystal of MnZn2SbO6 relaxed with PBEsol.

Results
Formation energy without anion corrections in eV/atom: -1.673

extended XYZ file:
```
20
Lattice="5.235 0.000 0.000 0.000 7.558 0.000 -0.356 0.000 5.256" Properties=species:S:1:pos:R:3 pbc="T T T"
Mn 0.000 0.000 0.000
Mn 0.000 3.779 0.000
Zn -0.110 1.889 2.842
Zn 1.971 5.668 5.134
Zn 2.908 1.889 0.122
Zn 4.989 5.668 2.414
Sb 2.439 0.000 2.628
Sb 2.439 3.779 2.628
O 0.371 5.668 0.525
O 0.757 4.318 3.478
O 0.757 7.018 3.478
O 1.613 0.483 0.878
O 1.613 3.296 0.878
O 1.927 1.889 3.316
O 2.952 5.668 1.940
O 3.266 4.262 4.378
O 3.266 7.075 4.378
O 4.122 0.539 1.778
O 4.122 3.239 1.778
O 4.508 1.889 4.731
```



No. 4
Density functional theory data (meta-GGA SCAN) for a crystal of Sc2Mn2O7 relaxed with PBEsol.

Results
Formation energy without anion corrections in eV/atom: -2.963

extended XYZ file:
```
22
Lattice="0.000 4.774 4.774 4.774 0.000 4.774 4.774 4.774 0.000" Properties=species:S:1:pos:R:3 pbc="T T T"
Sc 0.000 0.000 0.000
Sc 2.387 2.387 0.000
Sc 2.387 0.000 2.387
Sc 0.000 2.387 2.387
Mn 4.774 2.387 2.387
Mn 2.387 4.774 2.387
Mn 2.387 2.387 4.774
Mn 4.774 4.774 4.774
O 1.194 1.194 1.194
O 3.581 3.581 1.574
O 3.581 1.574 3.581
O 5.587 3.581 3.581
O 5.968 5.968 3.961
O 5.968 3.961 5.968
O 7.975 5.968 5.968
O 1.574 3.581 3.581
O 3.581 5.587 3.581
O 3.581 3.581 5.587
O 3.961 5.968 5.968
O 5.968 7.975 5.968
O 5.968 5.968 7.975
O 8.355 8.355 8.355
```



No. 5
Density functional theory data (meta-GGA SCAN) for a crystal of Sc3MnO relaxed with PBEsol.

Results
Formation energy without anion corrections in eV/atom: -1.384

extended XYZ file:
```
5
Lattice="4.330 0.000 0.000 0.000 4.330 0.000 0.000 0.000 4.330" Properties=species:S:1:pos:R:3 pbc="T T T"
Sc 0.000 0.000 2.165
Sc 0.000 2.165 0.000
Sc 2.165 0.000 0.000
Mn 2.165 2.165 2.165
O 0.000 0.000 0.000
```



No. 6
Density functional theory data (meta-GGA SCAN) for a crystal of Sc2MnO relaxed with PBEsol.

Results
Formation energy without anion corrections in eV/atom: -1.275

extended XYZ file:
```
4
Lattice="1.527 0.881 7.445 -1.527 0.881 7.445 0.000 -1.763 7.445" Properties=species:S:1:pos:R:3 pbc="T T T"
Sc 0.000 0.000 2.448
Sc 0.000 0.000 19.888
Mn 0.000 0.000 0.000
O 0.000 0.000 11.168
```



No. 7
Density functional theory data (meta-GGA SCAN) for a crystal of ScMn2O4 relaxed with PBEsol.

Results
Formation energy without anion corrections in eV/atom: -2.715

extended XYZ file:
```
14
Lattice="-3.076 3.124 4.170 3.076 -3.124 4.170 3.076 3.124 -4.170" Properties=species:S:1:pos:R:3 pbc="T T T"
Sc 0.000 0.000 0.000
Sc 0.000 3.124 0.000
Mn 1.538 1.562 -2.085
Mn 1.538 -1.562 2.085
Mn 3.076 1.562 1.010
Mn 0.000 1.562 3.160
O 3.076 2.982 -2.098
O 3.076 -0.142 2.098
O 1.413 1.562 -0.144
O 1.664 -1.562 4.026
O 1.413 4.686 0.144
O 1.664 1.562 4.315
O 0.000 3.266 2.072
O 0.000 0.142 6.268
```



No. 8
Density functional theory data (meta-GGA SCAN) for a crystal of Mn3Se3O10 relaxed with PBEsol.

Results
Formation energy without anion corrections in eV/atom: -1.464

extended XYZ file:
```
32
Lattice="7.813 -3.316 0.000 7.813 3.316 0.000 -4.823 0.000 8.419" Properties=species:S:1:pos:R:3 pbc="T T T"
Mn 3.906 1.658 0.000
Mn 1.495 1.658 4.209
Mn 1.443 0.000 0.727
Mn 3.906 -1.658 0.000
Mn 1.495 -1.658 4.209
Mn 9.360 0.000 7.692
Se -1.146 0.000 2.817
Se 4.101 0.000 2.800
Se 2.124 0.000 6.962
Se 8.679 0.000 1.457
Se 6.702 0.000 5.619
Se 11.949 0.000 5.602
O -0.439 0.000 1.200
O 3.322 1.954 4.939
O 4.455 1.363 1.816
O 1.298 1.306 7.727
O -1.710 0.000 8.317
O 2.323 0.000 2.808
O 1.308 0.000 5.408
O 7.481 1.954 3.480
O 9.505 1.306 0.692
O 6.348 1.363 6.603
O 4.455 -1.363 1.816
O 1.298 -1.306 7.727
O 3.322 -1.954 4.939
O 9.495 0.000 3.011
O 8.480 0.000 5.611
O 12.513 0.000 0.102
O 9.505 -1.306 0.692
O 6.348 -1.363 6.603
O 7.481 -1.954 3.480
O 11.242 0.000 7.219
```



No. 9
Density functional theory data (meta-GGA SCAN) for a crystal of MnSe2O6 relaxed with PBEsol.

Results
Formation energy without anion corrections in eV/atom: -1.281

extended XYZ file:
```
18
Lattice="5.064 0.000 0.000 0.000 6.660 0.000 -4.960 0.000 7.246" Properties=species:S:1:pos:R:3 pbc="T T T"
Mn 0.000 0.000 0.000
Mn -2.480 3.330 3.623
Se -2.373 1.160 5.821
Se 0.107 2.170 2.198
Se -0.003 4.489 5.048
Se 2.477 5.500 1.425
O -0.263 0.522 1.790
O -2.743 2.808 5.413
O -1.481 4.832 4.217
O 0.998 5.158 0.594
O -3.417 1.072 7.231
O -0.937 2.257 3.608
O 1.041 4.402 3.638
O 3.521 5.587 0.015
O -0.895 1.502 6.652
O 1.585 1.828 3.029
O 2.847 3.852 1.833
O 0.367 6.138 5.455
```



No. 10
Density functional theory data (meta-GGA SCAN) for a crystal of MnSe2O5 relaxed with PBEsol.

Results
Formation energy without anion corrections in eV/atom: -1.199
Distance to the lowest polymorph of the same formula in meV per atom: 5

extended XYZ file:
```
16
Lattice="4.006 -5.424 0.000 4.006 5.424 0.000 -2.483 0.000 5.062" Properties=species:S:1:pos:R:3 pbc="T T T"
Mn 2.143 4.513 3.796
Mn 3.385 -4.513 1.265
Se 0.572 1.510 4.491
Se 1.814 -1.510 1.960
Se 3.714 1.510 3.102
Se 4.956 -1.510 0.571
O 0.564 3.118 3.968
O -0.446 0.698 3.375
O 0.795 -0.698 0.844
O 3.722 3.118 3.625
O 2.143 0.832 3.796
O 3.385 -0.832 1.265
O 1.806 -3.118 1.437
O 4.733 0.698 4.218
O 5.974 -0.698 1.687
O 4.964 -3.118 1.094
```



No. 11
Density functional theory data (meta-GGA SCAN) for a crystal of MnSe2O5 relaxed with PBEsol.

Results
Formation energy without anion corrections in eV/atom: -1.205
Distance to the lowest polymorph of the same formula in meV per atom: 0

extended XYZ file:
```
32
Lattice="6.885 0.000 0.000 0.000 10.569 0.000 0.000 0.000 6.137" Properties=species:S:1:pos:R:3 pbc="T T T"
Mn 0.000 0.635 1.534
Mn 0.000 9.934 4.603
Mn 3.443 4.650 4.603
Mn 3.443 5.919 1.534
Se 0.907 3.646 0.197
Se 0.907 6.923 3.265
Se 2.536 1.638 3.265
Se 2.536 8.931 0.197
Se 4.349 1.638 5.941
Se 4.349 8.931 2.872
Se 5.979 3.646 2.872
Se 5.979 6.923 5.941
O 0.000 4.575 1.534
O 0.000 5.994 4.603
O 1.098 0.695 3.346
O 1.098 9.874 0.277
O 1.355 2.232 1.014
O 1.355 8.338 4.083
O 2.088 3.053 4.083
O 2.088 7.516 1.014
O 2.345 4.589 0.277
O 2.345 5.980 3.346
O 3.443 0.709 4.603
O 3.443 9.860 1.534
O 4.541 4.589 2.792
O 4.541 5.980 5.860
O 4.798 3.053 5.123
O 4.798 7.516 2.055
O 5.530 2.232 2.055
O 5.530 8.338 5.123
O 5.787 0.695 5.860
O 5.787 9.874 2.792
```



No. 12
Density functional theory data (meta-GGA SCAN) for a crystal of MnSiO2 relaxed with PBEsol.

Results
Formation energy without anion corrections in eV/atom: -1.365

extended XYZ file:
```
8
Lattice="-2.268 2.268 4.272 2.268 -2.268 4.272 2.268 2.268 -4.272" Properties=species:S:1:pos:R:3 pbc="T T T"
Mn 0.000 0.000 0.000
Mn 0.000 2.268 2.136
Si 2.268 0.000 2.136
Si 0.000 0.000 4.272
O 1.134 -0.719 3.204
O 1.549 1.134 1.068
O 1.134 2.987 -1.068
O 0.719 1.134 5.340
```